## KMn2Os (PBE)

Data for crystalline KMn2Os at its relaxed geometry.

CIF file:
```
data_KMn2Os
_chemical_formula_sum 'K3 Mn6 Os3'
_symmetry_space_group_name_H-M 'R -3 m'
_symmetry_Int_Tables_number 166
_symmetry_space_group_name_Hall '-R 3 2"'
_cell_length_a 2.8822
_cell_length_b 2.8822
_cell_length_c 30.6228
_cell_angle_alpha 90.00
_cell_angle_beta 90.00
_cell_angle_gamma 120.00
loop_
_atom_site_label
_atom_site_type_symbol
_atom_site_fract_x
_atom_site_fract_y
_atom_site_fract_z
K1 K 0.0000 0.0000 0.0000
Mn1 Mn 0.0000 0.0000 0.2334
Os1 Os 0.0000 0.0000 0.5000
```

Results
Relative energy among the computed polymorphs: 176 meV/atom
Energy of formation from the pure elements: 853 meV per atom
Electronic total energy: -6.814 eV per atom